Entry 1:
{
  "formula": "CsCaNi2Ru",
  "functional": "meta-GGA SCAN",
  "state": "single point on PBEsol structure",
  "e_form_ev_per_atom": 1.75,
  "total_magnetization_mub_per_cell": 2.42,
  "energy_ev_per_atom": -21.179,
  "sg": "No. 123",
  "lattice": [[-0.257, 4.906, 0.234], [-2.558, -0.335, 4.226], [4.231, 0.099, 2.569]],
  "species": ["Ni", "Ni", "Ru", "Cs", "Ca"],
  "fractional_positions": [[0.000, 0.000, 0.500], [0.000, 0.500, 0.000], [0.500, 0.000, 0.000], [0.500, 0.500, 0.500], [0.000, 0.000, 0.000]]
}

Entry 2:
{
  "formula": "Na2SbPd2",
  "functional": "meta-GGA SCAN",
  "state": "single point on PBEsol structure",
  "e_form_raw_ev_per_atom": -0.354,
  "total_magnetization_mub_per_cell": 0.00,
  "energy_ev_per_atom": -22.602,
  "sg": "No. 127",
  "lattice": [[4.800, 0.000, 0.000], [0.000, 6.667, 0.000], [0.000, 0.000, 6.667]],
  "species": ["Pd", "Sb", "Pd", "Na", "Na", "Pd", "Pd", "Sb", "Na", "Na"],
  "fractional_positions": [[0.000, 0.858, 0.642], [0.000, 0.500, 0.500], [0.000, 0.358, 0.858], [0.500, 0.169, 0.669], [0.500, 0.669, 0.831], [0.000, 0.142, 0.358], [0.000, 0.642, 0.142], [0.000, 0.000, 0.000], [0.500, 0.331, 0.169], [0.500, 0.831, 0.331]]
}

Entry 3:
{
  "formula": "K2ZrIr",
  "functional": "meta-GGA SCAN",
  "state": "single point on PBEsol structure",
  "e_form_ev_per_atom": 0.58,
  "total_magnetization_mub_per_cell": 0.50,
  "energy_ev_per_atom": -29.035,
  "sg": "No. 12",
  "lattice": [[3.871, 0.015, 0.000], [-0.094, 3.974, 0.000], [-1.888, -1.995, 6.203]],
  "species": ["Zr", "Ir", "K", "K"],
  "fractional_positions": [[0.500, 0.000, 0.000], [0.000, 0.500, 0.000], [0.000, 0.000, 0.500], [0.500, 0.500, 0.500]]
}

Entry 4:
{
  "formula": "Li3Mg",
  "functional": "meta-GGA SCAN",
  "state": "single point on PBEsol structure",
  "e_form_ev_per_atom": 0.01,
  "total_magnetization_mub_per_cell": 0.26,
  "energy_ev_per_atom": -3.023,
  "sg": "No. 223",
  "lattice": [[-4.562, 2.822, 0.811], [-2.804, -3.744, -2.747], [-0.869, -2.730, 4.607]],
  "species": ["Li", "Mg", "Li", "Li", "Li", "Li", "Mg", "Li"],
  "fractional_positions": [[0.500, 0.000, 0.750], [0.000, 0.000, 0.000], [0.000, 0.250, 0.500], [0.500, 0.000, 0.250], [0.250, 0.500, 0.000], [0.000, 0.750, 0.500], [0.500, 0.500, 0.500], [0.750, 0.500, 0.000]]
}

Entry 5:
{
  "formula": "Ba2SrCa",
  "functional": "meta-GGA SCAN",
  "state": "single point on PBEsol structure",
  "e_form_ev_per_atom": 0.05,
  "total_magnetization_mub_per_cell": 0.69,
  "energy_ev_per_atom": -27.714,
  "sg": "No. 225",
  "lattice": [[6.658, 0.000, 0.000], [3.329, 5.766, 0.000], [3.329, 1.922, 5.437]],
  "species": ["Ca", "Ba", "Ba", "Sr"],
  "fractional_positions": [[0.000, 0.000, 0.000], [0.750, 0.750, 0.750], [0.250, 0.250, 0.250], [0.500, 0.500, 0.500]]
}

Entry 6:
{
  "formula": "TcP2Se",
  "functional": "meta-GGA SCAN",
  "state": "single point on PBEsol structure",
  "e_form_raw_ev_per_atom": 0.704,
  "total_magnetization_mub_per_cell": 0.00,
  "energy_ev_per_atom": -18.280,
  "sg": "No. 10",
  "lattice": [[-0.517, -2.156, -2.085], [2.628, -2.516, 1.950], [-4.119, -1.045, 2.101]],
  "species": ["P", "P", "Tc", "Se"],
  "fractional_positions": [[0.500, 0.000, 0.500], [0.000, 0.000, 0.000], [0.000, 0.500, 0.500], [0.500, 0.500, 0.000]]
}

Entry 7:
{
  "formula": "Ba3SmIr2O9",
  "functional": "meta-GGA SCAN",
  "state": "single point on PBEsol structure",
  "e_form_raw_ev_per_atom": -2.330,
  "total_magnetization_mub_per_cell": 0.00,
  "energy_ev_per_atom": -26.421,
  "sg": "No. 194",
  "lattice": [[-0.167, 0.521, 5.874], [-2.753, -4.500, -2.642], [12.229, -8.107, 1.067]],
  "species": ["Ba", "O", "O", "Ba", "Ir", "Sm", "O", "O", "O", "O", "O", "Ir", "O", "Sm", "Ba", "O", "Ba", "Ir", "O", "O", "O", "Ir", "O", "O", "O", "O", "O", "Ba", "Ba", "O"],
  "fractional_positions": [[0.667, 0.333, 0.096], [0.016, 0.508, 0.250], [0.356, 0.178, 0.589], [0.667, 0.333, 0.404], [0.333, 0.667, 0.166], [0.000, 0.000, 0.000], [0.492, 0.984, 0.250], [0.178, 0.822, 0.411], [0.822, 0.644, 0.589], [0.178, 0.822, 0.089], [0.644, 0.822, 0.411], [0.333, 0.667, 0.334], [0.508, 0.016, 0.750], [0.000, 0.000, 0.500], [0.000, 0.000, 0.250], [0.356, 0.178, 0.911], [0.000, 0.000, 0.750], [0.667, 0.333, 0.666], [0.822, 0.644, 0.911], [0.984, 0.492, 0.750], [0.178, 0.356, 0.089], [0.667, 0.333, 0.834], [0.822, 0.178, 0.589], [0.178, 0.356, 0.411], [0.822, 0.178, 0.911], [0.644, 0.822, 0.089], [0.508, 0.492, 0.750], [0.333, 0.667, 0.596], [0.333, 0.667, 0.904], [0.492, 0.508, 0.250]]
}

Entry 8:
{
  "formula": "K2NaYBr6",
  "functional": "meta-GGA SCAN",
  "state": "single point on PBEsol structure",
  "e_form_raw_ev_per_atom": -1.953,
  "total_magnetization_mub_per_cell": 0.00,
  "energy_ev_per_atom": -18.501,
  "sg": "No. 225",
  "lattice": [[7.856, 0.000, 0.000], [3.928, 6.804, 0.000], [3.928, 2.268, 6.415]],
  "species": ["Br", "Br", "Br", "K", "Br", "Y", "Br", "Na", "Br", "K"],
  "fractional_positions": [[0.753, 0.753, 0.247], [0.753, 0.247, 0.753], [0.247, 0.753, 0.247], [0.750, 0.750, 0.750], [0.247, 0.247, 0.753], [0.000, 0.000, 0.000], [0.753, 0.247, 0.247], [0.500, 0.500, 0.500], [0.247, 0.753, 0.753], [0.250, 0.250, 0.250]]
}